This record from the Alexandria database describes crystalline Zn2CoTe at its relaxed geometry. The functional is PBE-GGA.

density	7.4	Mg/m³
E_form (uncorrected)	0.24	eV per atom

Lattice parameters (Å, degrees): 3.963 3.963 18.080 90.00 90.00 90.00
Space group I-42d (No. 122)
Unique sites:
Zn 0.183 0.250 0.125 x8
Co 0.000 0.000 0.000 x4
Te 0.000 0.000 0.500 x4